# PmMgClF4

A relaxed structure of PmMgClF4 (PBE, Alexandria via LeMat-Bulk).

Geometry as CIF:
```
data_PmMgClF4
_space_group_name_H-M_alt 'C 1 2/m 1'
_space_group_IT_number 12
_space_group_name_Hall '-C 2y'
_cell_length_a 10.662
_cell_length_b 7.338
_cell_length_c 7.093
_cell_angle_alpha 90.00
_cell_angle_beta 108.67
_cell_angle_gamma 90.00
loop_
_atom_site_label
_atom_site_type_symbol
_atom_site_fract_x
_atom_site_fract_y
_atom_site_fract_z
_atom_site_occupancy
Pm1 Pm 0.224 0.000 0.106 1
Mg1 Mg 0.134 0.500 0.277 1
Cl1 Cl 0.001 0.000 0.764 1
F1 F 0.051 0.500 0.819 1
F2 F 0.199 0.500 0.555 1
F3 F 0.211 0.316 0.149 1
```

Summary:
Energy relative to the elements, uncorrected: -3466 meV/atom
Size of the total moment: 0.000 μB/f.u.

---

# Mg2PtClF

A relaxed structure of Mg2PtClF (PBE, Alexandria via LeMat-Bulk).

Geometry as CIF:
```
data_Mg2PtClF
_space_group_name_H-M_alt 'P 4/m m m'
_space_group_IT_number 123
_space_group_name_Hall '-P 4 2'
_cell_length_a 5.086
_cell_length_b 5.086
_cell_length_c 4.578
_cell_angle_alpha 90.00
_cell_angle_beta 90.00
_cell_angle_gamma 90.00
loop_
_atom_site_label
_atom_site_type_symbol
_atom_site_fract_x
_atom_site_fract_y
_atom_site_fract_z
_atom_site_occupancy
Mg1 Mg 0.000 0.500 0.000 1
Pt1 Pt 0.000 0.000 0.500 1
Cl1 Cl 0.000 0.000 0.000 1
F1 F 0.500 0.500 0.500 1
```

Summary:
Energy relative to the elements, uncorrected: -74 meV/atom
Size of the total moment: 0.000 μB/f.u.